Entry 1:
Density functional theory data (PBE-GGA) for a relaxed structure of CrReAu2.

ΔE_f   415 meV per atom
Excess energy over the best structure of this formula in the dataset   0.147 eV/atom
Uncorrected energy   -6.74 eV/atom
V   16.2 A^3/atom

abc: 3.028 4.675 9.164
angles: 90.00 90.00 90.00
Space group Imm2 (No. 44)
Asymmetric unit:
Cr  0.000  0.000  0.000
Re  0.000  0.500  0.686
Au  0.000  0.000  0.460
Au  0.000  0.500  0.244



Entry 2:
Density functional theory data (PBE-GGA) for a relaxed structure of LiMg2MnH6.

Uncorrected energy   -3.66 eV/atom
V   8.4 A^3/atom

abc: 4.5748 4.5748 27.6937
angles: 90.00 90.00 120.00
Space group R-3m (No. 166, hexagonal axes)
Asymmetric unit:
Li  0.0000  0.0000  0.0866
Mg  0.0000  0.0000  0.1909
Mg  0.0000  0.0000  0.3576
Mn  0.0000  0.0000  0.0000
Mn  0.0000  0.0000  0.5000
H  0.0061  0.5030  0.6306
H  0.0118  0.5059  0.2030



Entry 3:
Density functional theory data (PBE-GGA) for a relaxed structure of BaAgSe.

Excess energy over the best structure of this formula in the dataset   0.031 eV/atom
Uncorrected formation energy   -1.0413 eV/atom
Uncorrected energy   -3.79 eV/atom
V   29.9 A^3/atom

abc: 4.539 8.344 9.461
angles: 90.00 90.00 90.00
Space group Immm (No. 71)
Asymmetric unit:
Ba  0.000  0.236  0.000
Ag  0.000  0.000  0.356
Se  0.000  0.500  0.303